1.
PBE-GGA GdAlPb2, relaxed; E = -6.57 eV/atom; E above lowest polymorph = 0 meV/atom; Fermi-level density of states = 0.516 states/eV/atom
1.0
4.6792 0.0000 0.0000
0.0000 4.7339 0.0000
0.0000 0.0000 4.7339
Pb Gd Al
2 1 1
Direct
0.0000 0.0000 0.5000
0.0000 0.5000 0.0000
0.5000 0.0000 0.0000
0.5000 0.5000 0.5000



2.
PBE-GGA BeBi2H2, relaxed; E = -3.18 eV/atom; E above lowest polymorph = 0 meV/atom; Fermi-level density of states = 0.440 states/eV/atom
1.0
-2.0903 -7.0826 0.5496
0.5344 -0.7281 -7.3498
3.2035 -0.9203 0.3241
Bi Be H
4 2 4
Direct
0.2478 0.7478 0.0000
0.7478 0.7522 0.0000
0.2522 0.2478 0.0000
0.7522 0.2522 0.0000
0.0000 0.0000 0.0000
0.5000 0.5000 0.0000
0.9633 0.4633 0.5000
0.5367 0.9633 0.5000
0.4633 0.0367 0.5000
0.0367 0.5367 0.5000



3.
PBE-GGA Ba3AlRh, relaxed; E = -3.34 eV/atom; E above lowest polymorph = 0 meV/atom; Fermi-level density of states = 1.552 states/eV/atom
1.0
5.9558 0.0000 0.0000
0.0000 5.9558 0.0000
0.0000 0.0000 5.9558
Rh Al Ba
1 1 3
Direct
0.0000 0.0000 0.0000
0.5000 0.5000 0.5000
0.0000 0.5000 0.0000
0.0000 0.0000 0.5000
0.5000 0.0000 0.0000



4.
PBE-GGA SrH2Br, relaxed; E = -3.14 eV/atom; E above lowest polymorph = 0 meV/atom; Fermi-level density of states = 0.312 states/eV/atom
1.0
-2.4430 -1.1368 -2.8094
2.0613 -4.4891 0.0245
-3.2048 -1.4531 3.3748
H Br Sr
2 1 1
Direct
0.3610 0.7499 0.0000
0.1390 0.7501 0.0000
0.7500 0.2500 0.5000
0.2500 0.7500 0.5000



5.
PBE-GGA GaNi4Ge3, relaxed; E = -5.24 eV/atom; E above lowest polymorph = 71 meV/atom; Fermi-level density of states = 0.420 states/eV/atom
1.0
4.7069 0.0049 0.0049
0.0561 4.7066 0.0049
0.0561 0.0555 4.7062
Ni Ge Ga
4 3 1
Direct
0.3565 0.8604 0.1366
0.8604 0.1366 0.3565
0.6455 0.6455 0.6455
0.1366 0.3565 0.8604
0.1613 0.8417 0.6535
0.6535 0.1613 0.8417
0.8417 0.6535 0.1613
0.3445 0.3445 0.3445



6.
PBE-GGA ScPbI3, relaxed; E = -3.39 eV/atom; formation energy without anion corrections = -0.454 eV per atom; E above lowest polymorph = 0 meV/atom; Fermi-level density of states = 1.161 states/eV/atom
1.0
-5.2351 0.5407 2.2821
1.5199 -3.4689 4.3085
1.7861 4.5366 3.0225
I Sc Pb
3 1 1
Direct
0.0000 0.0000 0.5000
0.0000 0.5000 0.0000
0.5000 0.0000 0.0000
0.0000 0.0000 0.0000
0.5000 0.5000 0.5000



7.
PBE-GGA MnHPd2, relaxed; E = -5.79 eV/atom; E above lowest polymorph = 0 meV/atom; Fermi-level density of states = 0.378 states/eV/atom
1.0
-1.3229 -2.4456 -0.7863
-0.9745 -1.0580 4.9185
-4.6661 5.0176 -2.4474
H Mn Pd
2 2 4
Direct
0.8062 0.0682 0.9727
0.9011 0.5347 0.1660
0.6037 0.8752 0.5685
0.1060 0.3733 0.5735
0.2635 0.8473 0.8869
0.7617 0.3613 0.8831
0.9489 0.9034 0.2573
0.4486 0.3865 0.2590



8.
PBE-GGA MgGa2Ag9, relaxed; E = -2.82 eV/atom; Fermi-level density of states = 0.319 states/eV/atom
1.0
4.1145 0.0000 0.0000
0.0000 4.1145 0.0000
0.0000 0.0000 12.5107
Ag Ga Mg
9 2 1
Direct
0.5000 0.5000 0.0000
0.0000 0.5000 0.5000
0.5000 0.0000 0.1682
0.5000 0.0000 0.8318
0.0000 0.5000 0.8318
0.5000 0.5000 0.3349
0.5000 0.5000 0.6651
0.5000 0.0000 0.5000
0.0000 0.5000 0.1682
0.0000 0.0000 0.6648
0.0000 0.0000 0.3352
0.0000 0.0000 0.0000